No. 1
# HgPN2F

A relaxed structure of HgPN2F (PBE, Alexandria).

abc: 3.3668 3.3668 6.2250
angles: 90.00 90.00 90.00
Last column: nearest neighbours and their distance in Å.
Fractional coordinates of all 5 atoms:
Hg  0.0000  0.0000  0.0000  4 F 2.38
P  0.5000  0.5000  0.5000  4 N 1.68
N  0.0000  0.5000  0.5000  2 P 1.68
N  0.5000  0.0000  0.5000  2 P 1.68
F  0.5000  0.5000  0.0000  4 Hg 2.38

- Electronic total energy: -4.454 eV/atom
- Distance to the lowest polymorph of the same formula: 0 kJ/mol of formula units
- Fermi-level density of states: 1.3 states/eV per cell
- ρ: 6.56 g/cm3

No. 2
# HgPbNF2

A relaxed structure of HgPbNF2 (PBE, Alexandria).

abc: 4.5012 4.5012 4.5085
angles: 90.00 90.00 90.00
Last column: nearest neighbours and their distance in Å.
Fractional coordinates of all 5 atoms:
Hg  0.0000  0.0000  0.0000  4 N 3.18, 8 F 3.19
Pb  0.5000  0.5000  0.5000  4 F 2.25, 2 N 2.25
N  0.5000  0.5000  0.0000  2 Pb 2.25
F  0.0000  0.5000  0.5000  2 Pb 2.25
F  0.5000  0.0000  0.5000  2 Pb 2.25

- Electronic total energy: -3.576 eV/atom
- Distance to the lowest polymorph of the same formula: 0 kJ/mol of formula units
- Fermi-level density of states: 2.3 states/eV per cell
- ρ: 8.36 g/cm3

Calculated magnetic moment in order - 0.46, 0.00 Bohr magnetons per cell
Calculated energy relative to the elements, uncorrected in order - 2.0, -1.8 eV/f.u.